No. 1
Here is LiCu2Pd6 after structural relaxation from Alexandria. Energies are from PBE.

Cell lengths 12.515, 9.112, 4.664 Å; angles 90.00, 98.36, 90.00 degrees
Space group C2/c (No. 15)
Asymmetric unit:
Li 0.000 0.126 0.250 [4 per cell]
Cu 0.166 0.374 0.085 [8 per cell]
Pd 0.056 0.375 0.524 [8 per cell]
Pd 0.110 0.126 0.813 [8 per cell]
Pd 0.225 0.124 0.358 [8 per cell]

Values from the calculation:
ΔE_f: -0.09 eV/atom
D(E_F): 11.91 states/eV/f.u.
crystal system: monoclinic



No. 2
Here is Sr2FeI after structural relaxation from Alexandria. Energies are from PBE.

Cell lengths 8.587, 8.587, 8.237 Å; angles 90.00, 90.00, 90.00 degrees
Space group I-42d (No. 122)
Asymmetric unit:
Sr 0.223 0.250 0.125 [8 per cell]
Fe 0.000 0.000 0.000 [4 per cell]
I 0.000 0.000 0.500 [4 per cell]

Values from the calculation:
D(E_F): 9.29 states/eV/f.u.
formation energy (no corrections): 12 kJ/mol of atoms
crystal system: tetragonal



No. 3
Here is Er4ScZn5 after structural relaxation from Alexandria. Energies are from PBE.

Cell lengths 3.500, 3.500, 17.529 Å; angles 90.00, 90.00, 90.00 degrees
Space group P4/mmm (No. 123)
Asymmetric unit:
Er 0.000 0.000 0.102 [2 per cell]
Er 0.000 0.000 0.306 [2 per cell]
Sc 0.000 0.000 0.500 [1 per cell]
Zn 0.500 0.500 0.000 [1 per cell]
Zn 0.500 0.500 0.204 [2 per cell]
Zn 0.500 0.500 0.411 [2 per cell]

Values from the calculation:
ΔE_f: -0.35 eV/atom
D(E_F): 10.76 states/eV/f.u.
crystal system: tetragonal



No. 4
Here is Sc6Ge2AsSe3 after structural relaxation from Alexandria. Energies are from PBE.

Cell lengths 16.997, 3.882, 7.817 Å; angles 90.00, 103.76, 90.00 degrees
Space group C2/m (No. 12)
Asymmetric unit:
Sc 0.004 0.000 0.245 [4 per cell]
Sc 0.165 0.500 0.092 [4 per cell]
Sc 0.169 0.500 0.577 [4 per cell]
Ge 0.167 0.000 0.334 [4 per cell]
As 0.000 0.500 0.000 [2 per cell]
Se 0.000 0.500 0.500 [2 per cell]
Se 0.166 0.000 0.834 [4 per cell]

Values from the calculation:
D(E_F): 2.13 states/eV/f.u.
formation energy (no corrections): -131 kJ/mol of atoms
crystal system: monoclinic



No. 5
Here is Ca3CdAs after structural relaxation from Alexandria. Energies are from PBE.

Cell lengths 5.608, 5.608, 5.608 Å; angles 90.00, 90.00, 90.00 degrees
Space group Pm-3m (No. 221)
Asymmetric unit:
Ca 0.000 0.000 0.500 [3 per cell]
Cd 0.500 0.500 0.500 [1 per cell]
As 0.000 0.000 0.000 [1 per cell]

Values from the calculation:
ΔE_f: -0.54 eV/atom
D(E_F): 3.53 states/eV/f.u.
crystal system: cubic



No. 6
Here is Ge2WAu after structural relaxation from Alexandria. Energies are from PBE.

Cell lengths 6.443, 6.443, 6.443 Å; angles 90.00, 90.00, 90.00 degrees
Space group Fm-3m (No. 225)
Asymmetric unit:
Ge 0.250 0.250 0.250 [8 per cell]
W 0.000 0.000 0.000 [4 per cell]
Au 0.000 0.000 0.500 [4 per cell]

Values from the calculation:
ΔE_f: 0.56 eV/atom
D(E_F): 3.04 states/eV/f.u.
crystal system: cubic



No. 7
Here is Sc2ReAu after structural relaxation from Alexandria. Energies are from PBE.

Cell lengths 6.623, 6.623, 6.623 Å; angles 90.00, 90.00, 90.00 degrees
Space group F-43m (No. 216)
Asymmetric unit:
Sc 0.000 0.000 0.000 [4 per cell]
Sc 0.250 0.250 0.250 [4 per cell]
Re 0.000 0.000 0.500 [4 per cell]
Au 0.250 0.250 0.750 [4 per cell]

Values from the calculation:
ΔE_f: 0.06 eV/atom
D(E_F): 4.39 states/eV/f.u.
crystal system: cubic



No. 8
Here is RbZnGa2Fe after structural relaxation from Alexandria. Energies are from PBE.

Cell lengths 4.711, 4.711, 4.919 Å; angles 90.00, 90.00, 90.00 degrees
Space group P4/mmm (No. 123)
Asymmetric unit:
Rb 0.000 0.000 0.000 [1 per cell]
Zn 0.500 0.500 0.000 [1 per cell]
Ga 0.000 0.500 0.500 [2 per cell]
Fe 0.500 0.500 0.500 [1 per cell]

Values from the calculation:
ΔE_f: 0.03 eV/atom
D(E_F): 2.76 states/eV/f.u.
crystal system: tetragonal



What E_tot values result from the calculations? In sequence: -0.1718, -0.1183, -0.1265, -0.2408, -0.1048, -0.2134, -0.2587, -0.1221 hartree per atom.